No. 1
Dy8Zn2Cu: optimized geometry, GGA-PBE.

Unit cell a=9.1732 b=9.1732 c=6.7455 alpha=104.74 beta=104.74 gamma=32.15
Fractional positions:
Dy 0.0270 0.0270 0.2786
Dy 0.2004 0.2004 0.8166
Dy 0.3383 0.3383 0.5309
Dy 0.4091 0.4091 0.0492
Dy 0.5909 0.5909 0.9508
Dy 0.6617 0.6617 0.4691
Dy 0.7996 0.7996 0.1834
Dy 0.9730 0.9730 0.7214
Zn 0.1876 0.1876 0.2298
Zn 0.8124 0.8124 0.7702
Cu 0.5000 0.5000 0.5000

Results
Energy: -4.073 eV/atom
Volume: 291 Å³ per cell
Formation energy from the elements: -0.1218 eV per atom
Crystal system: monoclinic


No. 2
Dy2Zn3Cu5: optimized geometry, GGA-PBE.

Unit cell a=8.2813 b=8.2813 c=8.2813 alpha=99.01 beta=93.85 gamma=140.92
Fractional positions:
Dy 0.1252 0.2400 0.3652
Dy 0.3748 0.7400 0.1147
Dy 0.6252 0.2600 0.8853
Dy 0.8748 0.7600 0.6348
Zn 0.1332 0.8747 0.0079
Zn 0.2500 0.7500 0.5000
Zn 0.3668 0.3747 0.7415
Zn 0.6332 0.6253 0.2585
Zn 0.7500 0.2500 0.5000
Zn 0.8668 0.1253 0.9921
Cu 0.0176 0.7500 0.2676
Cu 0.1198 0.6503 0.7701
Cu 0.2500 0.2500 0.0000
Cu 0.3802 0.1503 0.5305
Cu 0.4824 0.7500 0.7324
Cu 0.5176 0.2500 0.2676
Cu 0.6198 0.8497 0.4695
Cu 0.7500 0.7500 0.0000
Cu 0.8802 0.3497 0.2299
Cu 0.9824 0.2500 0.7324

Results
Energy: -3.550 eV/atom
Volume: 337 Å³ per cell
Formation energy from the elements: -0.1997 eV per atom
Crystal system: orthorhombic


No. 3
DyZn4Cu2: optimized geometry, GGA-PBE.

Unit cell a=7.7156 b=7.7156 c=3.8877 alpha=90.00 beta=90.00 gamma=150.19
Fractional positions:
Dy 0.0000 0.0000 0.0000
Zn 0.1834 0.8166 0.5000
Zn 0.3144 0.6856 0.0000
Zn 0.6856 0.3144 0.0000
Zn 0.8166 0.1834 0.5000
Cu 0.4196 0.5804 0.5000
Cu 0.5804 0.4196 0.5000

Results
Energy: -2.770 eV/atom
Excess energy over the best structure of this formula in the dataset: 0.39 kcal/mol of atoms
Volume: 115 Å³ per cell
Formation energy from the elements: -0.2144 eV per atom
Crystal system: orthorhombic


No. 4
Dy4ZnCu3: optimized geometry, GGA-PBE.

Unit cell a=3.4871 b=4.9491 c=9.8736 alpha=90.00 beta=90.00 gamma=90.00
Fractional positions:
Dy 0.0000 0.0000 0.0000
Dy 0.0000 0.0000 0.5000
Dy 0.0000 0.5000 0.2448
Dy 0.0000 0.5000 0.7552
Zn 0.5000 0.5000 0.5000
Cu 0.5000 0.0000 0.2519
Cu 0.5000 0.0000 0.7481
Cu 0.5000 0.5000 0.0000

Results
Energy: -4.269 eV/atom
Excess energy over the best structure of this formula in the dataset: 0.00 kcal/mol of atoms
Volume: 170 Å³ per cell
Formation energy from the elements: -0.2725 eV per atom
Crystal system: orthorhombic


No. 5
Dy3Zn4Cu4: optimized geometry, GGA-PBE.

Unit cell a=8.0204 b=8.0204 c=8.0204 alpha=150.80 beta=127.20 gamma=61.48
Fractional positions:
Dy 0.0000 0.0000 0.0000
Dy 0.3737 0.8737 0.5000
Dy 0.6263 0.1263 0.5000
Zn 0.0195 0.3291 0.6904
Zn 0.3613 0.6709 0.6904
Zn 0.6387 0.3291 0.3096
Zn 0.9805 0.6709 0.3096
Cu 0.2192 0.2192 0.0000
Cu 0.3194 0.5000 0.8194
Cu 0.6806 0.5000 0.1806
Cu 0.7808 0.7808 0.0000

Results
Energy: -3.491 eV/atom
Volume: 199 Å³ per cell
Formation energy from the elements: -0.2828 eV per atom
Crystal system: orthorhombic


No. 6
Dy3Zn2Cu3: optimized geometry, GGA-PBE.

Unit cell a=7.5681 b=15.1923 c=5.5077 alpha=90.00 beta=90.00 gamma=90.00
Fractional positions:
Dy 0.0413 0.1047 0.1432
Dy 0.0413 0.3953 0.1432
Dy 0.1783 0.2500 0.6167
Dy 0.3217 0.7500 0.1167
Dy 0.4587 0.6047 0.6432
Dy 0.4587 0.8953 0.6432
Dy 0.5413 0.1047 0.3568
Dy 0.5413 0.3953 0.3568
Dy 0.6783 0.2500 0.8833
Dy 0.8217 0.7500 0.3833
Dy 0.9587 0.6047 0.8568
Dy 0.9587 0.8953 0.8568
Zn 0.1126 0.6058 0.3621
Zn 0.1126 0.8942 0.3621
Zn 0.3874 0.1058 0.8621
Zn 0.3874 0.3942 0.8621
Zn 0.6126 0.6058 0.1379
Zn 0.6126 0.8942 0.1379
Zn 0.8874 0.1058 0.6379
Zn 0.8874 0.3942 0.6379
Cu 0.1784 0.7500 0.6120
Cu 0.1812 0.0346 0.5902
Cu 0.1812 0.4654 0.5902
Cu 0.3188 0.5346 0.0902
Cu 0.3188 0.9654 0.0902
Cu 0.3216 0.2500 0.1120
Cu 0.6784 0.7500 0.8880
Cu 0.6812 0.0346 0.9098
Cu 0.6812 0.4654 0.9098
Cu 0.8188 0.5346 0.4098
Cu 0.8188 0.9654 0.4098
Cu 0.8216 0.2500 0.3880

Results
Energy: -3.847 eV/atom
Volume: 633 Å³ per cell
Formation energy from the elements: -0.2670 eV per atom
Crystal system: orthorhombic